# 1
A geometry-optimized Sr2NpTl3Se6 structure. Source: Alexandria via LeMat-Bulk, functional PBE.

Output
Total energy: -4.828 eV/atom
Total magnetic moment: 2.0 μB/f.u.

a = 7.624 Å, b = 13.135 Å, c = 8.010 Å
α = 90.00°, β = 108.23°, γ = 90.00°
Space group C2/m (No. 12)
Symmetry-distinct sites (fractional):
Sr 0.000 0.166 0.000 (multiplicity 4)
Np 0.000 0.500 0.000 (multiplicity 2)
Tl 0.000 0.000 0.500 (multiplicity 2)
Tl 0.000 0.333 0.500 (multiplicity 4)
Se 0.219 0.351 0.209 (multiplicity 8)
Se 0.227 0.500 0.782 (multiplicity 4)

=====

# 2
A geometry-optimized SrNpTl2Se4 structure. Source: Alexandria via LeMat-Bulk, functional PBE.

Output
Total energy: -5.239 eV/atom
Total magnetic moment: 3.0 μB/f.u.

a = 7.541 Å, b = 4.336 Å, c = 8.055 Å
α = 90.00°, β = 107.88°, γ = 90.00°
Space group P2/m (No. 10)
Symmetry-distinct sites (fractional):
Sr 0.000 0.000 0.000 (multiplicity 1)
Np 0.500 0.500 0.000 (multiplicity 1)
Tl 0.000 0.500 0.500 (multiplicity 1)
Tl 0.500 0.000 0.500 (multiplicity 1)
Se 0.266 0.500 0.212 (multiplicity 2)
Se 0.287 0.000 0.795 (multiplicity 2)

=====

# 3
A geometry-optimized SrNp2Tl3Se6 structure. Source: Alexandria via LeMat-Bulk, functional PBE.

Output
Total energy: -5.679 eV/atom
Total magnetic moment: 7.0 μB/f.u.

a = 7.456 Å, b = 12.876 Å, c = 8.098 Å
α = 90.00°, β = 107.73°, γ = 90.00°
Space group C2/m (No. 12)
Symmetry-distinct sites (fractional):
Sr 0.000 0.000 0.000 (multiplicity 2)
Np 0.000 0.333 0.000 (multiplicity 4)
Tl 0.000 0.161 0.500 (multiplicity 4)
Tl 0.000 0.500 0.500 (multiplicity 2)
Se 0.210 0.500 0.203 (multiplicity 4)
Se 0.249 0.179 0.209 (multiplicity 8)

=====

# 4
A geometry-optimized NpTaSe3 structure. Source: Alexandria via LeMat-Bulk, functional PBE.

Output
Total energy: -7.948 eV/atom
Total magnetic moment: 3.7 μB/f.u.

a = 8.220 Å, b = 3.702 Å, c = 14.167 Å
α = 90.00°, β = 90.00°, γ = 90.00°
Space group Pnma (No. 62)
Symmetry-distinct sites (fractional):
Np 0.100 0.250 0.174 (multiplicity 4)
Ta 0.124 0.750 0.459 (multiplicity 4)
Se 0.037 0.750 0.632 (multiplicity 4)
Se 0.155 0.750 0.008 (multiplicity 4)
Se 0.195 0.250 0.800 (multiplicity 4)

=====

# 5
A geometry-optimized NpTa2Se6 structure. Source: Alexandria via LeMat-Bulk, functional PBE.

Output
Total energy: -7.037 eV/atom
Total magnetic moment: 3.5 μB/f.u.

a = 12.889 Å, b = 4.779 Å, c = 9.546 Å
α = 90.00°, β = 122.28°, γ = 90.00°
Space group C2/m (No. 12)
Symmetry-distinct sites (fractional):
Np 0.000 0.000 0.000 (multiplicity 2)
Ta 0.144 0.000 0.574 (multiplicity 4)
Se 0.039 0.000 0.727 (multiplicity 4)
Se 0.148 0.500 0.126 (multiplicity 4)
Se 0.206 0.500 0.556 (multiplicity 4)

=====

# 6
A geometry-optimized Np2TaSe6 structure. Source: Alexandria via LeMat-Bulk, functional PBE.

Output
Total energy: -7.460 eV/atom
Total magnetic moment: 7.0 μB/f.u.

a = 6.415 Å, b = 7.445 Å, c = 11.005 Å
α = 90.00°, β = 124.19°, γ = 90.00°
Space group P2_1/c (No. 14)
Symmetry-distinct sites (fractional):
Np 0.200 0.125 0.244 (multiplicity 4)
Ta 0.500 0.000 0.000 (multiplicity 2)
Se 0.100 0.176 0.939 (multiplicity 4)
Se 0.289 0.687 0.937 (multiplicity 4)
Se 0.375 0.033 0.734 (multiplicity 4)

=====

# 7
A geometry-optimized NpTa4Se8 structure. Source: Alexandria via LeMat-Bulk, functional PBE.

Output
Total energy: -7.534 eV/atom
Total magnetic moment: 4.0 μB/f.u.
Excess energy over the best structure of this formula in the dataset: 0.000 eV/f.u.

a = 7.1523 Å, b = 7.1523 Å, c = 20.4164 Å
α = 90.00°, β = 90.00°, γ = 120.00°
Space group R-3m (No. 166, hexagonal axes)
Symmetry-distinct sites (fractional):
Np 0.0000 0.0000 0.0000 (multiplicity 3)
Ta 0.0000 0.0000 0.5000 (multiplicity 3)
Ta 0.0000 0.5000 0.5000 (multiplicity 9)
Se 0.0000 0.0000 0.2459 (multiplicity 6)
Se 0.0133 0.5067 0.2470 (multiplicity 18)

=====

# 8
A geometry-optimized NpTa4Se8 structure. Source: Alexandria via LeMat-Bulk, functional PBE.

Output
Total energy: -7.469 eV/atom
Total magnetic moment: 4.5 μB/f.u.
Excess energy over the best structure of this formula in the dataset: 0.848 eV/f.u.

a = 10.777 Å, b = 10.777 Å, c = 10.777 Å
α = 90.00°, β = 90.00°, γ = 90.00°
Space group F-43m (No. 216)
Symmetry-distinct sites (fractional):
Np 0.000 0.000 0.000 (multiplicity 4)
Ta 0.102 0.102 0.602 (multiplicity 16)
Se 0.133 0.133 0.367 (multiplicity 16)
Se 0.145 0.145 0.855 (multiplicity 16)

=====

# 9
A geometry-optimized NpTaSe structure. Source: Alexandria via LeMat-Bulk, functional PBE.

Output
Total energy: -9.517 eV/atom
Total magnetic moment: 0.2 μB/f.u.

a = 3.2387 Å, b = 3.2387 Å, c = 13.4293 Å
α = 90.00°, β = 90.00°, γ = 120.00°
Space group P-6m2 (No. 187)
Symmetry-distinct sites (fractional):
Np 0.0000 0.0000 0.0000 (multiplicity 1)
Np 0.3333 0.6667 0.5000 (multiplicity 1)
Ta 0.3333 0.6667 0.1897 (multiplicity 2)
Se 0.0000 0.0000 0.3270 (multiplicity 2)

=====

# 10
A geometry-optimized NpTa2Tl2Se6 structure. Source: Alexandria via LeMat-Bulk, functional PBE.

Output
Total energy: -6.370 eV/atom
Total magnetic moment: 3.9 μB/f.u.

a = 6.730 Å, b = 11.022 Å, c = 8.306 Å
α = 90.00°, β = 100.17°, γ = 90.00°
Space group C2/m (No. 12)
Symmetry-distinct sites (fractional):
Np 0.000 0.000 0.000 (multiplicity 2)
Ta 0.000 0.364 0.000 (multiplicity 4)
Tl 0.000 0.172 0.500 (multiplicity 4)
Se 0.208 0.500 0.220 (multiplicity 4)
Se 0.231 0.183 0.185 (multiplicity 8)

=====

# 11
A geometry-optimized TbNpSe2 structure. Source: Alexandria via LeMat-Bulk, functional PBE.

Output
Total energy: -7.495 eV/atom
Total magnetic moment: 4.6 μB/f.u.
Excess energy over the best structure of this formula in the dataset: 0.298 eV/f.u.

a = 3.9402 Å, b = 3.9402 Å, c = 22.0230 Å
α = 90.00°, β = 90.00°, γ = 120.00°
Space group R3m (No. 160, hexagonal axes)
Symmetry-distinct sites (fractional):
Tb 0.0000 0.0000 0.0000 (multiplicity 3)
Np 0.0000 0.0000 0.8265 (multiplicity 3)
Se 0.0000 0.0000 0.4111 (multiplicity 3)
Se 0.0000 0.0000 0.5830 (multiplicity 3)

=====

# 12
A geometry-optimized TbNpSe2 structure. Source: Alexandria via LeMat-Bulk, functional PBE.

Output
Total energy: -7.569 eV/atom
Total magnetic moment: 4.5 μB/f.u.
Excess energy over the best structure of this formula in the dataset: 0.000 eV/f.u.

a = 4.0986 Å, b = 4.0986 Å, c = 20.0620 Å
α = 90.00°, β = 90.00°, γ = 120.00°
Space group R-3m (No. 166, hexagonal axes)
Symmetry-distinct sites (fractional):
Tb 0.0000 0.0000 0.0000 (multiplicity 3)
Np 0.0000 0.0000 0.5000 (multiplicity 3)
Se 0.0000 0.0000 0.2503 (multiplicity 6)

=====

# 13
A geometry-optimized TbNpSe structure. Source: Alexandria via LeMat-Bulk, functional PBE.

Output
Total energy: -7.854 eV/atom
Total magnetic moment: 2.5 μB/f.u.

a = 16.874 Å, b = 3.804 Å, c = 4.207 Å
α = 90.00°, β = 90.00°, γ = 90.00°
Space group Pnma (No. 62)
Symmetry-distinct sites (fractional):
Tb 0.180 0.250 0.241 (multiplicity 4)
Np 0.003 0.750 0.190 (multiplicity 4)
Se 0.143 0.750 0.738 (multiplicity 4)

=====

# 14
A geometry-optimized Tb3NpSe6 structure. Source: Alexandria via LeMat-Bulk, functional PBE.

Output
Total energy: -6.460 eV/atom
Total magnetic moment: 4.0 μB/f.u.

a = 11.633 Å, b = 4.123 Å, c = 11.870 Å
α = 90.00°, β = 108.97°, γ = 90.00°
Space group P2_1/m (No. 11)
Symmetry-distinct sites (fractional):
Tb 0.068 0.250 0.167 (multiplicity 2)
Tb 0.181 0.750 0.502 (multiplicity 2)
Tb 0.342 0.250 0.918 (multiplicity 2)
Np 0.454 0.250 0.309 (multiplicity 2)
Se 0.019 0.250 0.384 (multiplicity 2)
Se 0.104 0.250 0.936 (multiplicity 2)
Se 0.246 0.750 0.277 (multiplicity 2)
Se 0.307 0.750 0.750 (multiplicity 2)
Se 0.386 0.250 0.538 (multiplicity 2)
Se 0.417 0.750 0.100 (multiplicity 2)

=====

# 15
A geometry-optimized TbNpSe4 structure. Source: Alexandria via LeMat-Bulk, functional PBE.

Output
Total energy: -6.431 eV/atom
Total magnetic moment: 2.0 μB/f.u.

a = 9.277 Å, b = 9.406 Å, c = 4.248 Å
α = 90.00°, β = 90.00°, γ = 90.00°
Space group Cmmm (No. 65)
Symmetry-distinct sites (fractional):
Tb 0.000 0.000 0.000 (multiplicity 2)
Np 0.000 0.500 0.500 (multiplicity 2)
Se 0.000 0.309 0.000 (multiplicity 4)
Se 0.205 0.000 0.500 (multiplicity 4)

=====

# 16
A geometry-optimized Tb2NpSe4 structure. Source: Alexandria via LeMat-Bulk, functional PBE.

Output
Total energy: -6.762 eV/atom
Total magnetic moment: 4.5 μB/f.u.

a = 4.035 Å, b = 13.503 Å, c = 13.772 Å
α = 90.00°, β = 90.00°, γ = 90.00°
Space group Cmcm (No. 63)
Symmetry-distinct sites (fractional):
Tb 0.000 0.133 0.067 (multiplicity 8)
Np 0.000 0.380 0.250 (multiplicity 4)
Se 0.000 0.037 0.250 (multiplicity 4)
Se 0.000 0.226 0.624 (multiplicity 8)
Se 0.000 0.500 0.000 (multiplicity 4)

=====

# 17
A geometry-optimized TbNpSe3 structure. Source: Alexandria via LeMat-Bulk, functional PBE.

Output
Total energy: -7.127 eV/atom
Total magnetic moment: 4.0 μB/f.u.
Excess energy over the best structure of this formula in the dataset: 0.000 eV/f.u.

a = 7.696 Å, b = 4.100 Å, c = 15.797 Å
α = 90.00°, β = 90.00°, γ = 90.00°
Space group Pnma (No. 62)
Symmetry-distinct sites (fractional):
Tb 0.236 0.250 0.042 (multiplicity 4)
Np 0.137 0.750 0.292 (multiplicity 4)
Se 0.007 0.750 0.108 (multiplicity 4)
Se 0.123 0.250 0.432 (multiplicity 4)
Se 0.147 0.750 0.720 (multiplicity 4)

=====

# 18
A geometry-optimized TbNpSe3 structure. Source: Alexandria via LeMat-Bulk, functional PBE.

Output
Total energy: -7.044 eV/atom
Total magnetic moment: 4.0 μB/f.u.
Excess energy over the best structure of this formula in the dataset: 0.418 eV/f.u.

a = 4.1582 Å, b = 4.1582 Å, c = 20.2522 Å
α = 90.00°, β = 90.00°, γ = 120.00°
Space group P6_3mc (No. 186)
Symmetry-distinct sites (fractional):
Tb 0.3333 0.6667 0.0000 (multiplicity 2)
Np 0.0000 0.0000 0.1807 (multiplicity 2)
Se 0.0000 0.0000 0.4313 (multiplicity 2)
Se 0.3333 0.6667 0.2521 (multiplicity 2)
Se 0.3333 0.6667 0.5924 (multiplicity 2)

=====

# 19
A geometry-optimized TbNp2Se5 structure. Source: Alexandria via LeMat-Bulk, functional PBE.

Output
Total energy: -7.284 eV/atom
Total magnetic moment: 7.0 μB/f.u.

a = 8.005 Å, b = 12.283 Å, c = 4.079 Å
α = 90.00°, β = 90.00°, γ = 90.00°
Space group Pbam (No. 55)
Symmetry-distinct sites (fractional):
Tb 0.000 0.000 0.000 (multiplicity 2)
Np 0.029 0.322 0.500 (multiplicity 4)
Se 0.000 0.500 0.000 (multiplicity 2)
Se 0.178 0.104 0.500 (multiplicity 4)
Se 0.181 0.799 0.000 (multiplicity 4)

=====

# 20
A geometry-optimized TbNpTeSe2 structure. Source: Alexandria via LeMat-Bulk, functional PBE.

Output
Total energy: -6.522 eV/atom
Total magnetic moment: 4.0 μB/f.u.

a = 4.563 Å, b = 4.563 Å, c = 13.894 Å
α = 90.00°, β = 90.00°, γ = 90.00°
Space group I4mm (No. 107)
Symmetry-distinct sites (fractional):
Tb 0.000 0.000 0.000 (multiplicity 2)
Np 0.000 0.000 0.261 (multiplicity 2)
Te 0.000 0.000 0.635 (multiplicity 2)
Se 0.000 0.500 0.382 (multiplicity 4)

=====

# 21
A geometry-optimized TbNp3Tl3Se8 structure. Source: Alexandria via LeMat-Bulk, functional PBE.

Output
Total energy: -6.305 eV/atom
Total magnetic moment: 11.0 μB/f.u.

a = 8.3744 Å, b = 8.3744 Å, c = 23.3005 Å
α = 90.00°, β = 90.00°, γ = 120.00°
Space group R-3m (No. 166, hexagonal axes)
Symmetry-distinct sites (fractional):
Tb 0.0000 0.0000 0.0000 (multiplicity 3)
Np 0.0000 0.5000 0.0000 (multiplicity 9)
Tl 0.0000 0.5000 0.5000 (multiplicity 9)
Se 0.0000 0.0000 0.2658 (multiplicity 6)
Se 0.0028 0.5014 0.2659 (multiplicity 18)

=====

no.,formation energy (no corrections) (eV per atom)
1,-1.14
2,-1.08
3,-1.05
4,-0.90
5,-0.64
6,-0.94
7,-0.75
8,-0.68
9,-0.09
10,-0.71
11,-1.36
12,-1.43
13,-0.84
14,-1.69
15,-1.18
16,-1.60
17,-1.52
18,-1.44
19,-1.29
20,-0.99
21,-1.08